Run i
Cr3Cu4: relaxed, PBE-GGA.

The structure in CIF format:
```
data_Cr3Cu4
_chemical_formula_sum 'Cr6 Cu8'
_symmetry_space_group_name_H-M 'I 4/m m m'
_symmetry_Int_Tables_number 139
_symmetry_space_group_name_Hall '-I 4 2'
_cell_length_a 2.987
_cell_length_b 2.987
_cell_length_c 19.332
_cell_angle_alpha 90.00
_cell_angle_beta 90.00
_cell_angle_gamma 90.00
loop_
_atom_site_label
_atom_site_fract_x
_atom_site_fract_y
_atom_site_fract_z
Cr1 0.000 0.000 0.000
Cr2 0.000 0.000 0.279
Cu1 0.000 0.000 0.143
Cu2 0.000 0.000 0.425
```

Results
Total magnetic moment in μB/f.u.: 2.878
Mass density in Mg/m³: 7.898
DOS at the Fermi energy in states/eV/atom: 0.974

Run ii
Cr3Cu4: relaxed, PBE-GGA.

The structure in CIF format:
```
data_Cr3Cu4
_chemical_formula_sum 'Cr3 Cu4'
_symmetry_space_group_name_H-M 'P 6/m m m'
_symmetry_Int_Tables_number 191
_symmetry_space_group_name_Hall '-P 6 2'
_cell_length_a 4.5624
_cell_length_b 4.5624
_cell_length_c 4.7657
_cell_angle_alpha 90.00
_cell_angle_beta 90.00
_cell_angle_gamma 120.00
loop_
_atom_site_label
_atom_site_fract_x
_atom_site_fract_y
_atom_site_fract_z
Cr1 0.0000 0.5000 0.0000
Cu1 0.0000 0.0000 0.2581
Cu2 0.3333 0.6667 0.5000
```

Results
Total magnetic moment in μB/f.u.: 0.003
Mass density in Mg/m³: 7.928
DOS at the Fermi energy in states/eV/atom: 1.245

What should be chosen as the most stable of them? Choose run i.

Run i
Cr4Cu: relaxed, PBE-GGA.

The structure in CIF format:
```
data_Cr4Cu
_chemical_formula_sum 'Cr4 Cu1'
_symmetry_space_group_name_H-M 'P m -3 m'
_symmetry_Int_Tables_number 221
_symmetry_space_group_name_Hall '-P 4 2 3'
_cell_length_a 4.664
_cell_length_b 4.664
_cell_length_c 4.664
_cell_angle_alpha 90.00
_cell_angle_beta 90.00
_cell_angle_gamma 90.00
loop_
_atom_site_label
_atom_site_fract_x
_atom_site_fract_y
_atom_site_fract_z
Cr1 0.000 0.000 0.000
Cr2 0.000 0.500 0.500
Cu1 0.500 0.500 0.500
```

Results
Total magnetic moment in μB/f.u.: 16.857
Mass density in Mg/m³: 4.444
DOS at the Fermi energy in states/eV/atom: 1.737

Run ii
Cr4Cu: relaxed, PBE-GGA.

The structure in CIF format:
```
data_Cr4Cu
_chemical_formula_sum 'Cr8 Cu2'
_symmetry_space_group_name_H-M 'I 4/m'
_symmetry_Int_Tables_number 87
_symmetry_space_group_name_Hall '-I 4'
_cell_length_a 6.364
_cell_length_b 6.364
_cell_length_c 2.897
_cell_angle_alpha 90.00
_cell_angle_beta 90.00
_cell_angle_gamma 90.00
loop_
_atom_site_label
_atom_site_fract_x
_atom_site_fract_y
_atom_site_fract_z
Cr1 0.112 0.689 0.000
Cu1 0.000 0.000 0.500
```

Results
Total magnetic moment in μB/f.u.: 0.000
Mass density in Mg/m³: 7.687
DOS at the Fermi energy in states/eV/atom: 1.275

What should be chosen as the most stable of them? Choose run ii.

Run i
Cr5Cu4: relaxed, PBE-GGA.

The structure in CIF format:
```
data_Cr5Cu4
_chemical_formula_sum 'Cr10 Cu8'
_symmetry_space_group_name_H-M 'P 63/m c m'
_symmetry_Int_Tables_number 193
_symmetry_space_group_name_Hall '-P 6c 2'
_cell_length_a 7.2361
_cell_length_b 7.2361
_cell_length_c 5.0043
_cell_angle_alpha 90.00
_cell_angle_beta 90.00
_cell_angle_gamma 120.00
loop_
_atom_site_label
_atom_site_fract_x
_atom_site_fract_y
_atom_site_fract_z
Cr1 0.0000 0.3647 0.2500
Cr2 0.3333 0.6667 0.0000
Cu1 0.0000 0.0000 0.0000
Cu2 0.0000 0.3057 0.7500
```

Results
Total magnetic moment in μB/f.u.: 4.094
Mass density in Mg/m³: 7.525
DOS at the Fermi energy in states/eV/atom: 0.781

Run ii
Cr5Cu4: relaxed, PBE-GGA.

The structure in CIF format:
```
data_Cr5Cu4
_chemical_formula_sum 'Cr10 Cu8'
_symmetry_space_group_name_H-M 'I 4/m m m'
_symmetry_Int_Tables_number 139
_symmetry_space_group_name_Hall '-I 4 2'
_cell_length_a 7.915
_cell_length_b 7.915
_cell_length_c 3.363
_cell_angle_alpha 90.00
_cell_angle_beta 90.00
_cell_angle_gamma 90.00
loop_
_atom_site_label
_atom_site_fract_x
_atom_site_fract_y
_atom_site_fract_z
Cr1 0.000 0.000 0.000
Cr2 0.167 0.167 0.500
Cu1 0.000 0.336 0.000
```

Results
Total magnetic moment in μB/f.u.: 0.000
Mass density in Mg/m³: 8.104
DOS at the Fermi energy in states/eV/atom: 1.079

What should be chosen as the most stable of them? Choose run ii.